# 1
A plane-wave DFT calculation with PBE was carried out for a relaxed MgAgRu crystal.

Unit cell a=2.890 b=4.503 c=8.852 alpha=89.99 beta=120.34 gamma=90.00
Fractional positions:
Ru1 0.614 0.750 0.576
Ru2 0.386 0.250 0.424
Mg1 0.645 0.750 0.274
Mg2 0.355 0.250 0.726
Ag1 0.624 0.750 0.922
Ag2 0.376 0.250 0.078

ΔE to the lowest computed polymorph = 0.00 eV per formula unit
magnetization = 0.00 μB per cell
energy = -4.4929 eV per atom



# 2
A plane-wave DFT calculation with PBE was carried out for a relaxed BC2 crystal.

Unit cell a=2.555 b=2.488 c=12.049 alpha=90.00 beta=90.00 gamma=90.00
Fractional positions:
B1 0.000 0.000 0.649
B2 0.500 0.000 0.933
B3 0.500 0.500 0.816
B4 0.500 0.500 0.181
C1 0.000 0.500 0.089
C2 0.500 0.000 0.267
C3 0.500 0.000 0.562
C4 0.000 0.500 0.740
C5 0.500 0.500 0.490
C6 0.000 0.000 0.339
C7 0.000 0.000 0.020
C8 0.000 0.500 0.414

ΔE to the lowest computed polymorph = 0.19 eV per formula unit
magnetization = 0.00 μB per cell
energy = -8.0726 eV per atom



# 3
A plane-wave DFT calculation with PBE was carried out for a relaxed CaRe2Au crystal.

Unit cell a=4.717 b=4.717 c=5.934 alpha=83.96 beta=83.96 gamma=34.94
Fractional positions:
Re1 0.991 0.991 0.065
Re2 0.247 0.247 0.209
Ca1 0.754 0.754 0.742
Au1 0.508 0.508 0.483

ΔE to the lowest computed polymorph = 1.20 eV per formula unit
magnetization = 0.00 μB per cell
energy = -7.0850 eV per atom



# 4
A plane-wave DFT calculation with PBE was carried out for a relaxed RbHg3Pt crystal.

Unit cell a=5.306 b=9.477 c=8.039 alpha=85.16 beta=90.57 gamma=56.59
Fractional positions:
Hg1 0.913 0.773 0.021
Hg2 0.496 0.192 0.115
Hg3 0.017 0.670 0.595
Hg4 0.229 0.955 0.349
Hg5 0.319 0.866 0.803
Hg6 0.764 0.429 0.840
Rb1 0.666 0.520 0.266
Rb2 0.538 0.151 0.640
Pt1 0.229 0.465 0.887
Pt2 0.781 0.901 0.323

ΔE to the lowest computed polymorph = 0.51 eV per formula unit
magnetization = 0.00 μB per cell
energy = -1.7624 eV per atom



# 5
A plane-wave DFT calculation with PBE was carried out for a relaxed Cs2VCrBr6 crystal.

Unit cell a=7.617 b=7.617 c=7.610 alpha=59.97 beta=59.97 gamma=90.00
Each line ends with the local moment (μB).
Fractional positions:
V1 0.500 0.500 0.000  2.53
Br1 0.253 0.253 0.000  -0.01
Br2 0.747 0.747 0.000  -0.01
Br3 0.252 0.252 0.496  -0.01
Br4 0.748 0.748 0.504  -0.01
Br5 0.747 0.253 0.000  -0.01
Br6 0.253 0.747 0.000  -0.01
Cs1 0.750 0.250 0.500  0.00
Cs2 0.250 0.750 0.500  0.00
Cr1 0.000 0.000 0.000  3.81

formation energy without anion corrections = -1.114 eV per atom
magnetization = 7.00 μB per cell
energy = -4.1621 eV per atom



# 6
A plane-wave DFT calculation with PBE was carried out for a relaxed Sn2BiPb2 crystal.

Unit cell a=9.422 b=9.422 c=3.498 alpha=90.00 beta=90.00 gamma=90.00
Fractional positions:
Sn1 0.840 0.660 0.000
Sn2 0.160 0.340 0.000
Sn3 0.340 0.840 0.000
Sn4 0.660 0.160 0.000
Bi1 0.000 0.000 0.000
Bi2 0.500 0.500 0.000
Pb1 0.361 0.139 0.500
Pb2 0.639 0.861 0.500
Pb3 0.861 0.361 0.500
Pb4 0.139 0.639 0.500

ΔE to the lowest computed polymorph = 0.33 eV per formula unit
magnetization = 0.00 μB per cell
energy = -3.7516 eV per atom



# 7
A plane-wave DFT calculation with PBE was carried out for a relaxed NaLiH2 crystal.

Unit cell a=5.231 b=5.231 c=5.100 alpha=59.14 beta=59.14 gamma=90.00
Fractional positions:
Li1 0.250 0.750 0.500
Li2 0.500 0.500 0.000
Na1 0.750 0.250 0.500
Na2 0.000 0.000 0.000
H1 0.375 0.434 0.750
H2 0.184 0.625 0.250
H3 0.566 0.125 0.250
H4 0.875 0.816 0.750

ΔE to the lowest computed polymorph = 0.06 eV per formula unit
magnetization = 0.00 μB per cell
energy = -2.7432 eV per atom



# 8
A plane-wave DFT calculation with PBE was carried out for a relaxed La2TlCd crystal.

Unit cell a=5.606 b=5.606 c=5.606 alpha=60.00 beta=60.00 gamma=60.00
Each line ends with the local moment (μB).
Fractional positions:
La1 0.750 0.750 0.750  0.14
La2 0.250 0.250 0.250  0.14
Tl1 0.500 0.500 0.500  -0.01
Cd1 0.000 0.000 0.000  0.02

ΔE to the lowest computed polymorph = 0.00 eV per formula unit
magnetization = 0.72 μB per cell
energy = -3.6701 eV per atom



# 9
A plane-wave DFT calculation with PBE was carried out for a relaxed Ti2TlOs crystal.

Unit cell a=3.047 b=3.047 c=7.631 alpha=90.00 beta=90.00 gamma=90.00
Fractional positions:
Tl1 0.500 0.500 0.500
Ti1 0.000 0.000 0.205
Ti2 0.000 0.000 0.795
Os1 0.500 0.500 0.000

ΔE to the lowest computed polymorph = 0.00 eV per formula unit
magnetization = 0.00 μB per cell
energy = -7.5706 eV per atom



# 10
A plane-wave DFT calculation with PBE was carried out for a relaxed Ac2HoInPt6 crystal.

Unit cell a=7.191 b=7.191 c=7.191 alpha=60.00 beta=60.00 gamma=90.00
Fractional positions:
Ho1 0.000 0.000 0.000
Pt1 0.252 0.252 0.000
Pt2 0.252 0.252 0.496
Pt3 0.748 0.252 0.000
Pt4 0.748 0.748 0.504
Pt5 0.252 0.748 0.000
Pt6 0.748 0.748 0.000
Ac1 0.250 0.750 0.500
Ac2 0.750 0.250 0.500
In1 0.500 0.500 0.000

magnetization = 0.00 μB per cell
energy = -5.4477 eV per atom



# 11
A plane-wave DFT calculation with PBE was carried out for a relaxed BaMn2TlCl8 crystal.

Unit cell a=6.821 b=6.821 c=10.039 alpha=90.00 beta=90.00 gamma=120.00
Each line ends with the local moment (μB).
Fractional positions:
Ba1 0.000 0.000 0.500  0.02
Cl1 0.667 0.333 0.008  0.03
Cl2 0.659 0.670 0.706  0.04
Cl3 0.011 0.341 0.706  0.04
Cl4 0.333 0.667 0.992  0.03
Cl5 0.341 0.330 0.294  0.04
Cl6 0.330 0.989 0.706  0.04
Cl7 0.670 0.011 0.294  0.04
Cl8 0.989 0.659 0.294  0.04
Mn1 0.667 0.333 0.228  3.94
Mn2 0.333 0.667 0.772  3.94
Tl1 0.000 0.000 0.000  0.00

formation energy without anion corrections = -1.324 eV per atom
magnetization = 9.00 μB per cell
energy = -4.4407 eV per atom



# 12
A plane-wave DFT calculation with PBE was carried out for a relaxed NaBeH4 crystal.

Unit cell a=4.116 b=4.106 c=5.776 alpha=90.00 beta=90.00 gamma=89.99
Fractional positions:
H1 0.755 0.500 0.000
H2 0.244 0.750 0.315
H3 0.244 0.250 0.685
H4 0.755 0.000 0.000
H5 0.245 0.500 0.000
H6 0.756 0.250 0.685
H7 0.245 0.000 0.000
H8 0.756 0.750 0.315
Be1 0.000 0.750 0.114
Be2 0.000 0.250 0.886
Na1 0.500 0.250 0.305
Na2 0.500 0.750 0.695

magnetization = 0.00 μB per cell
energy = -2.9142 eV per atom